[1]
Entry from Alexandria via LeMat-Bulk: a relaxed structure of BaBeHg2 (PBE-GGA).

Cell and atoms, written as POSCAR:
```
BaBeHg2
1.0
0.0000 3.7869 3.7869
3.7869 0.0000 3.7869
3.7869 3.7869 0.0000
Ba Be Hg
1 1 2
direct
0.0000 0.0000 0.0000
0.2500 0.2500 0.2500
0.5000 0.5000 0.5000
0.7500 0.7500 0.7500
```

Computed properties:
Its total moment is 0.00 Bohr magnetons per cell. As for the volume: 27.153 Å³ per atom. Its energy of formation is 0.1770 eV/atom.

---

[2]
Entry from Alexandria via LeMat-Bulk: a relaxed structure of NaTiReO6 (PBE-GGA).

Cell and atoms, written as POSCAR:
```
NaTiReO6
1.0
5.1540 0.0000 0.0000
-2.5770 4.4635 0.0000
0.0000 0.0000 10.4356
Na Ti Re O
2 2 2 12
direct
0.0000 0.0000 0.0000
0.0000 0.0000 0.5000
0.3333 0.6667 0.2500
0.6667 0.3333 0.7500
0.3333 0.6667 0.7500
0.6667 0.3333 0.2500
0.0105 0.3855 0.6472
0.0105 0.6250 0.8528
0.3750 0.3855 0.8528
0.3750 0.9895 0.6472
0.3855 0.0105 0.1472
0.3855 0.3750 0.3528
0.6145 0.6250 0.6472
0.6145 0.9895 0.8528
0.6250 0.0105 0.3528
0.6250 0.6145 0.1472
0.9895 0.3750 0.1472
0.9895 0.6145 0.3528
```

Computed properties:
The formation energy (no corrections) is -2073 meV per atom. Its total moment is 0.00 Bohr magnetons per cell. As for the volume: 13.337 Å³ per atom.

---

[3]
Entry from Alexandria via LeMat-Bulk: a relaxed structure of Pr2HoZr (PBE-GGA).

Cell and atoms, written as POSCAR:
```
Pr2HoZr
1.0
1.7147 0.9900 12.2273
-1.7147 0.9900 12.2273
0.0000 -1.9800 12.2273
Pr Ho Zr
2 1 1
direct
0.0855 0.0855 0.0855
0.9145 0.9145 0.9145
0.5000 0.5000 0.5000
0.0000 0.0000 0.0000
```

Computed properties:
Its total moment is 0.00 Bohr magnetons per cell. As for the volume: 31.135 Å³ per atom. Its energy of formation is 0.3201 eV/atom. The excess energy over the best structure of this formula in the dataset comes out at 186 meV/atom.

---

[4]
Entry from Alexandria via LeMat-Bulk: a relaxed structure of CdCuRe2 (PBE-GGA).

Cell and atoms, written as POSCAR:
```
CdCuRe2
1.0
2.6883 0.0000 0.0000
0.0000 4.6947 0.0000
-0.6568 0.0000 4.9567
Cd Cu Re
1 1 2
direct
0.0000 0.0000 0.0000
0.5000 0.0000 0.5000
0.3074 0.5000 0.7469
0.6926 0.5000 0.2531
```

Computed properties:
Its total moment is 0.00 Bohr magnetons per cell. As for the volume: 15.639 Å³ per atom. Its energy of formation is 0.5722 eV/atom.

---

[5]
Entry from Alexandria via LeMat-Bulk: a relaxed structure of Tb3Ag4Hg4 (PBE-GGA).

Cell and atoms, written as POSCAR:
```
Tb3Ag4Hg4
1.0
3.3725 0.0000 0.0000
-0.0007 4.8825 0.0000
-1.6712 -2.4383 15.2015
Tb Ag Hg
3 4 4
direct
0.0000 0.0000 0.0000
0.1394 0.6392 0.2791
0.8606 0.3608 0.7209
0.2660 0.2657 0.5310
0.4073 0.9080 0.8153
0.5927 0.0920 0.1847
0.7340 0.7343 0.4690
0.3150 0.8152 0.6300
0.4521 0.4525 0.9046
0.5479 0.5475 0.0954
0.6850 0.1848 0.3700
```

Computed properties:
Its total moment is 0.00 Bohr magnetons per cell. As for the volume: 22.755 Å³ per atom. Its energy of formation is -0.2760 eV/atom.

---

[6]
Entry from Alexandria via LeMat-Bulk: a relaxed structure of La3MgO (PBE-GGA).

Cell and atoms, written as POSCAR:
```
La3MgO
1.0
3.4999 -6.1865 0.0000
3.4999 6.1865 0.0000
0.0000 0.0000 7.3299
La Mg O
6 2 2
direct
0.0000 0.0000 0.0000
0.0000 0.0000 0.5000
0.0380 0.4957 0.7500
0.4957 0.0380 0.2500
0.5043 0.9620 0.7500
0.9620 0.5043 0.2500
0.4665 0.5335 0.2500
0.5335 0.4665 0.7500
0.1222 0.8778 0.2500
0.8778 0.1222 0.7500
```

Computed properties:
The formation energy (no corrections) is -942 meV per atom. Its total moment is 0.00 Bohr magnetons per cell. As for the volume: 31.742 Å³ per atom. The excess energy over the best structure of this formula in the dataset comes out at 266 meV/atom.

---

[7]
Entry from Alexandria via LeMat-Bulk: a relaxed structure of NdTm3Rh8 (PBE-GGA).

Cell and atoms, written as POSCAR:
```
NdTm3Rh8
1.0
5.3309 0.0000 0.0000
-2.6654 4.6167 0.0000
0.0000 0.0000 8.7252
Nd Tm Rh
1 3 8
direct
0.0000 0.0000 0.0000
0.0000 0.0000 0.3682
0.6667 0.3333 0.4975
0.6667 0.3333 0.8629
0.1645 0.3289 0.6793
0.1645 0.8355 0.6793
0.3333 0.6667 0.4324
0.3333 0.6667 0.9314
0.5024 0.0048 0.1865
0.5024 0.4976 0.1865
0.6711 0.8355 0.6793
0.9952 0.4976 0.1865
```

Computed properties:
Its total moment is 0.00 Bohr magnetons per cell. As for the volume: 17.895 Å³ per atom. Its energy of formation is -0.7097 eV/atom.

---

[8]
Entry from Alexandria via LeMat-Bulk: a relaxed structure of AcSmEu (PBE-GGA).

Cell and atoms, written as POSCAR:
```
AcSmEu
1.0
3.8460 0.0000 0.0000
-1.9230 3.3308 0.0000
0.0000 0.0000 9.3383
Ac Sm Eu
1 1 1
direct
0.0000 0.0000 0.0000
0.3333 0.6667 0.6787
0.6667 0.3333 0.3519
```

Computed properties:
Its total moment is 7.48 Bohr magnetons per cell. As for the volume: 39.875 Å³ per atom. Its energy of formation is 0.0388 eV/atom. The excess energy over the best structure of this formula in the dataset comes out at 2 meV/atom.

---

[9]
Entry from Alexandria via LeMat-Bulk: a relaxed structure of Sm3AlGe4 (PBE-GGA).

Cell and atoms, written as POSCAR:
```
Sm3AlGe4
1.0
-2.2122 2.9714 7.5277
2.2122 -2.9714 7.5277
2.2122 2.9714 -7.5277
Sm Al Ge
3 1 4
direct
0.0000 0.0000 0.0000
0.3124 0.8124 0.5000
0.6876 0.1876 0.5000
0.5000 0.5000 0.0000
0.0800 0.3737 0.7063
0.3327 0.6263 0.7063
0.6673 0.3737 0.2937
0.9200 0.6263 0.2937
```

Computed properties:
Its total moment is 0.00 Bohr magnetons per cell. As for the volume: 24.741 Å³ per atom. Its energy of formation is -0.6101 eV/atom.

---

[10]
Entry from Alexandria via LeMat-Bulk: a relaxed structure of PmDy2Cd6 (PBE-GGA).

Cell and atoms, written as POSCAR:
```
PmDy2Cd6
1.0
8.6710 0.0000 0.0000
-4.3355 7.5093 0.0000
0.0000 0.0000 3.4320
Pm Dy Cd
1 2 6
direct
0.0000 0.0000 0.0000
0.3333 0.6667 0.0000
0.6667 0.3333 0.0000
0.0000 0.3355 0.5000
0.0000 0.6645 0.5000
0.3355 0.0000 0.5000
0.3355 0.3355 0.5000
0.6645 0.0000 0.5000
0.6645 0.6645 0.5000
```

Computed properties:
Its total moment is 0.11 Bohr magnetons per cell. As for the volume: 24.830 Å³ per atom. Its energy of formation is -0.3227 eV/atom.

---

[11]
Entry from Alexandria via LeMat-Bulk: a relaxed structure of Gd2ThPa (PBE-GGA).

Cell and atoms, written as POSCAR:
```
Gd2ThPa
1.0
1.6894 0.9754 12.1636
-1.6894 0.9754 12.1636
0.0000 -1.9507 12.1636
Gd Th Pa
2 1 1
direct
0.0880 0.0880 0.0880
0.9120 0.9120 0.9120
0.5000 0.5000 0.5000
0.0000 0.0000 0.0000
```

Computed properties:
Its total moment is 14.04 Bohr magnetons per cell. As for the volume: 30.064 Å³ per atom. Its energy of formation is 0.3008 eV/atom. The excess energy over the best structure of this formula in the dataset comes out at 134 meV/atom.

---

[12]
Entry from Alexandria via LeMat-Bulk: a relaxed structure of La2FeMo (PBE-GGA).

Cell and atoms, written as POSCAR:
```
La2FeMo
1.0
3.5126 0.0000 0.0000
0.0000 4.5389 0.0000
0.0000 0.0000 5.4387
La Fe Mo
2 1 1
direct
0.0000 0.0000 0.0000
0.5000 0.0000 0.5000
0.0000 0.5000 0.5000
0.5000 0.5000 0.0000
```

Computed properties:
Its total moment is 1.15 Bohr magnetons per cell. As for the volume: 21.677 Å³ per atom. Its energy of formation is 0.6720 eV/atom. The excess energy over the best structure of this formula in the dataset comes out at 385 meV/atom.

---

Number 5 is which compound?
Tb3Ag4Hg4

---

The highest volume belongs to which entry?
AcSmEu